i) Density functional theory data (PBE-GGA) for crystalline TbNd2Ir at its relaxed geometry.

```
TbNd2Ir
1.0
3.9533 0.0000 0.0000
0.0000 12.0898 0.0000
0.0000 0.0000 9.7028
Tb Nd Ir
4 8 4
Direct
0.0000 0.0834 0.2500
0.0000 0.9166 0.7500
0.5000 0.4166 0.7500
0.5000 0.5834 0.2500
0.0000 0.3609 0.0671
0.0000 0.3609 0.4329
0.0000 0.6391 0.5671
0.0000 0.6391 0.9329
0.5000 0.1391 0.5671
0.5000 0.1391 0.9329
0.5000 0.8609 0.0671
0.5000 0.8609 0.4329
0.0000 0.2450 0.7500
0.0000 0.7550 0.2500
0.5000 0.2550 0.2500
0.5000 0.7450 0.7500
```


ii) Density functional theory data (PBE-GGA) for crystalline TbNd2Ir at its relaxed geometry.

```
TbNd2Ir
1.0
7.3300 0.0000 0.0000
0.0000 9.8516 0.0000
0.0000 0.0000 6.4545
Tb Nd Ir
4 8 4
Direct
0.0377 0.2500 0.1478
0.4623 0.7500 0.6478
0.5377 0.2500 0.3522
0.9623 0.7500 0.8522
0.1779 0.0656 0.6729
0.1779 0.4344 0.6729
0.3221 0.5656 0.1729
0.3221 0.9344 0.1729
0.6779 0.0656 0.8271
0.6779 0.4344 0.8271
0.8221 0.5656 0.3271
0.8221 0.9344 0.3271
0.1204 0.7500 0.4515
0.3796 0.2500 0.9515
0.6204 0.7500 0.0485
0.8796 0.2500 0.5485
```


The structure with the greatest stability is ii).


i) Density functional theory data (PBE-GGA) for crystalline Tb3NdIr at its relaxed geometry.

```
Tb3NdIr
1.0
5.4764 0.0000 0.0000
0.0000 5.4764 0.0000
0.0000 0.0000 5.4764
Tb Nd Ir
3 1 1
Direct
0.0000 0.0000 0.5000
0.0000 0.5000 0.0000
0.5000 0.0000 0.0000
0.5000 0.5000 0.5000
0.0000 0.0000 0.0000
```


ii) Density functional theory data (PBE-GGA) for crystalline Tb3NdIr at its relaxed geometry.

```
Tb3NdIr
1.0
7.6894 0.0000 0.0000
0.0000 6.5932 0.0000
0.0000 0.0000 6.2654
Tb Nd Ir
6 2 2
Direct
0.0000 0.1540 0.0000
0.2487 0.6810 0.0059
0.2513 0.3190 0.5059
0.5000 0.8460 0.5000
0.7487 0.3190 0.5059
0.7513 0.6810 0.0059
0.0000 0.8528 0.5106
0.5000 0.1472 0.0106
0.0000 0.4948 0.2543
0.5000 0.5052 0.7543
```


The structure with the greatest stability is ii).


i) Density functional theory data (PBE-GGA) for crystalline NdThIr at its relaxed geometry.

```
NdThIr
1.0
3.6862 0.0000 0.0000
0.0000 3.6862 0.0000
0.0000 0.0000 11.4015
Nd Th Ir
2 2 2
Direct
0.0000 0.0000 0.0000
0.5000 0.5000 0.5000
0.0000 0.0000 0.2928
0.5000 0.5000 0.7928
0.0000 0.0000 0.6766
0.5000 0.5000 0.1766
```


ii) Density functional theory data (PBE-GGA) for crystalline NdThIr at its relaxed geometry.

```
NdThIr
1.0
7.1301 0.0000 0.0000
0.0000 6.0734 0.0000
-6.2889 0.0000 8.2682
Nd Th Ir
4 4 4
Direct
0.1954 0.1341 0.3783
0.1954 0.3659 0.8783
0.8046 0.6341 0.1217
0.8046 0.8659 0.6217
0.3307 0.6309 0.6270
0.3307 0.8691 0.1270
0.6693 0.1309 0.8730
0.6693 0.3691 0.3730
0.3224 0.6446 0.3543
0.3224 0.8554 0.8543
0.6776 0.1446 0.1457
0.6776 0.3554 0.6457
```


The structure with the greatest stability is ii).


i) Density functional theory data (PBE-GGA) for crystalline Nd2ThIr at its relaxed geometry.

```
Nd2ThIr
1.0
3.7287 0.0000 0.0000
-1.8643 3.2291 0.0000
0.0000 0.0000 32.4434
Nd Th Ir
6 3 3
Direct
0.0000 0.0000 0.1104
0.0000 0.0000 0.8896
0.3333 0.6667 0.5563
0.3333 0.6667 0.7770
0.6667 0.3333 0.2230
0.6667 0.3333 0.4437
0.0000 0.0000 0.0000
0.3333 0.6667 0.6667
0.6667 0.3333 0.3333
0.0000 0.0000 0.5000
0.3333 0.6667 0.1667
0.6667 0.3333 0.8333
```


ii) Density functional theory data (PBE-GGA) for crystalline Nd2ThIr at its relaxed geometry.

```
Nd2ThIr
1.0
7.2342 0.0000 0.0000
0.0000 10.0376 0.0000
0.0000 0.0000 6.6169
Nd Th Ir
8 4 4
Direct
0.1776 0.0653 0.1684
0.1776 0.4347 0.1684
0.3224 0.5653 0.6684
0.3224 0.9347 0.6684
0.6776 0.0653 0.3316
0.6776 0.4347 0.3316
0.8224 0.5653 0.8316
0.8224 0.9347 0.8316
0.0413 0.2500 0.6631
0.4587 0.7500 0.1631
0.5413 0.2500 0.8369
0.9587 0.7500 0.3369
0.1293 0.7500 0.9587
0.3707 0.2500 0.4587
0.6293 0.7500 0.5413
0.8707 0.2500 0.0413
```


The structure with the greatest stability is ii).


i) Density functional theory data (PBE-GGA) for crystalline NdTh2Ir at its relaxed geometry.

```
NdTh2Ir
1.0
4.0144 0.0000 0.0000
-2.0072 3.4765 0.0000
0.0000 0.0000 27.4610
Nd Th Ir
3 6 3
Direct
0.0000 0.0000 0.0000
0.3333 0.6667 0.6667
0.6667 0.3333 0.3333
0.0000 0.0000 0.2272
0.0000 0.0000 0.4393
0.3333 0.6667 0.1060
0.3333 0.6667 0.8938
0.6667 0.3333 0.5605
0.6667 0.3333 0.7726
0.0000 0.0000 0.8339
0.3333 0.6667 0.5006
0.6667 0.3333 0.1673
```


ii) Density functional theory data (PBE-GGA) for crystalline NdTh2Ir at its relaxed geometry.

```
NdTh2Ir
1.0
7.3114 0.0000 0.0000
0.0000 10.0167 0.0000
0.0000 0.0000 6.3834
Nd Th Ir
4 8 4
Direct
0.0373 0.2500 0.1469
0.4627 0.7500 0.6469
0.5373 0.2500 0.3531
0.9627 0.7500 0.8531
0.1792 0.0606 0.6583
0.1792 0.4394 0.6583
0.3208 0.5606 0.1583
0.3208 0.9394 0.1583
0.6792 0.0606 0.8417
0.6792 0.4394 0.8417
0.8208 0.5606 0.3417
0.8208 0.9394 0.3417
0.1089 0.7500 0.3817
0.3911 0.2500 0.8817
0.6089 0.7500 0.1183
0.8911 0.2500 0.6183
```


The structure with the greatest stability is ii).


i) Density functional theory data (PBE-GGA) for crystalline Nd3TlIr at its relaxed geometry.

```
Nd3TlIr
1.0
5.5466 0.0000 0.0000
0.0000 5.5466 0.0000
0.0000 0.0000 5.5466
Nd Tl Ir
3 1 1
Direct
0.0000 0.0000 0.5000
0.0000 0.5000 0.0000
0.5000 0.0000 0.0000
0.5000 0.5000 0.5000
0.0000 0.0000 0.0000
```


ii) Density functional theory data (PBE-GGA) for crystalline Nd3TlIr at its relaxed geometry.

```
Nd3TlIr
1.0
8.3541 0.0000 0.0000
0.0000 4.7853 0.0000
0.0000 0.0000 14.7740
Nd Tl Ir
12 4 4
Direct
0.0074 0.2500 0.1064
0.1393 0.7500 0.4826
0.1697 0.2500 0.7147
0.3303 0.7500 0.2147
0.3607 0.2500 0.9826
0.4926 0.7500 0.6064
0.5074 0.2500 0.3936
0.6393 0.7500 0.0174
0.6697 0.2500 0.7853
0.8303 0.7500 0.2853
0.8607 0.2500 0.5174
0.9926 0.7500 0.8936
0.1174 0.2500 0.3278
0.3826 0.7500 0.8278
0.6174 0.2500 0.1722
0.8826 0.7500 0.6722
0.1975 0.7500 0.0466
0.3025 0.2500 0.5466
0.6975 0.7500 0.4534
0.8025 0.2500 0.9534
```


The structure with the greatest stability is ii).


i) Density functional theory data (PBE-GGA) for crystalline Nd6Tl2Ir at its relaxed geometry.

```
Nd6Tl2Ir
1.0
3.9549 0.0000 0.0000
0.0000 7.7308 4.4653
0.0000 -7.7308 4.4653
Nd Tl Ir
6 2 1
Direct
0.0000 0.0000 0.0000
0.0000 0.5178 0.7584
0.0000 0.7584 0.5178
0.5000 0.1547 0.7586
0.5000 0.3623 0.3623
0.5000 0.7586 0.1547
0.0000 0.0918 0.4253
0.0000 0.4253 0.0918
0.5000 0.7593 0.7593
```


ii) Density functional theory data (PBE-GGA) for crystalline Nd6Tl2Ir at its relaxed geometry.

```
Nd6Tl2Ir
1.0
7.3713 0.0000 0.0000
0.0000 7.5024 0.0000
-7.0092 0.0000 10.7765
Nd Tl Ir
12 4 2
Direct
0.1473 0.1984 0.4593
0.1473 0.3016 0.9593
0.2648 0.6877 0.4602
0.2648 0.8123 0.9602
0.3412 0.0051 0.2474
0.3412 0.4949 0.7474
0.6588 0.5051 0.2526
0.6588 0.9949 0.7526
0.7352 0.1877 0.0398
0.7352 0.3123 0.5398
0.8527 0.6984 0.0407
0.8527 0.8016 0.5407
0.2168 0.0712 0.7450
0.2168 0.4288 0.2450
0.7832 0.5712 0.7550
0.7832 0.9288 0.2550
0.5000 0.0000 0.5000
0.5000 0.5000 0.0000
```


The structure with the greatest stability is i).


i) Density functional theory data (PBE-GGA) for crystalline Nd4Tl2Ir at its relaxed geometry.

```
Nd4Tl2Ir
1.0
6.7471 0.0000 0.0000
0.0000 3.9094 0.0000
-3.2123 0.0000 8.7018
Nd Tl Ir
4 2 1
Direct
0.1184 0.0000 0.2537
0.3455 0.5000 0.6560
0.6545 0.5000 0.3440
0.8816 0.0000 0.7463
0.2610 0.5000 0.9999
0.7390 0.5000 0.0001
0.5000 0.0000 0.5000
```


ii) Density functional theory data (PBE-GGA) for crystalline Nd4Tl2Ir at its relaxed geometry.

```
Nd4Tl2Ir
1.0
11.6874 0.0000 0.0000
0.0000 4.7737 0.0000
-4.9663 0.0000 7.5769
Nd Tl Ir
8 4 2
Direct
0.0738 0.0000 0.3538
0.1689 0.5000 0.0587
0.3311 0.0000 0.9413
0.4262 0.5000 0.6462
0.5738 0.5000 0.3538
0.6689 0.0000 0.0587
0.8311 0.5000 0.9413
0.9262 0.0000 0.6462
0.1512 0.5000 0.6676
0.3488 0.0000 0.3324
0.6512 0.0000 0.6676
0.8488 0.5000 0.3324
0.0000 0.0000 0.0000
0.5000 0.5000 0.0000
```


The structure with the greatest stability is ii).